Compound: Ho2CrGaO6
Source: Alexandria
Functional: PBE+U
Structure: optimized geometry

Lattice parameters (Å, degrees): 5.2301 5.2301 4.6403 90.00 90.00 90.00
Atoms (fractional coordinates):
Ho 0.0000 0.5000 0.0000
Ho 0.5000 0.0000 0.0000
Cr 0.0000 0.0000 0.6016
Ga 0.5000 0.5000 0.5755
O 0.0000 0.0000 0.1802
O 0.2535 0.2535 0.7167
O 0.2535 0.7465 0.7167
O 0.5000 0.5000 0.1793
O 0.7465 0.2535 0.7167
O 0.7465 0.7465 0.7167

Properties
size of the total moment	3.0	μB per cell
calculated total energy	-7.49	eV/atom